A plane-wave DFT calculation with PBE was carried out for crystalline SmZn2Ge at its relaxed geometry.

V = 20.16 Å³/atom
Calculated total energy = -12.6 eV/cell
Energy relative to the lowest polymorph listed for this composition = 0.292 eV/atom
Crystal system = trigonal
ΔH_f (0 K) = -0.686 eV/f.u.
DOS at the Fermi energy = 1.85 states/eV per cell

Cell: 4.8358 4.8358 4.8358 Å, 60.37 60.37 60.37°
Atoms (fractional coordinates):
Sm 0.0000 0.0000 0.0000
Zn 0.2511 0.2511 0.2511
Zn 0.7489 0.7489 0.7489
Ge 0.5000 0.5000 0.5000